TaInOs: relaxed, GGA-PBEsol.

Magnetic moment, Bohr magnetons per cell: 0.0
Space group: P3m1, No. 156
Formation energy, eV/atom: 0.21
Crystal system: trigonal
Density, Mg/m³: 15.8

POSCAR file:
```
TaInOs
1.0
4.496 0.000 0.000
-2.248 3.893 0.000
0.000 0.000 2.916
Ta In Os
1 1 1
Direct
0.000 0.000 0.000 Ta
0.333 0.667 0.453 In
0.667 0.333 0.694 Os
```